## K5PbO3 (PBE)

Data for a relaxed structure of K5PbO3.

Properties
Crystal system = monoclinic
Formation energy from raw total energies = -0.9252 eV per atom
Space group = P2/m (10)

```
data_K5PbO3
_chemical_formula_sum 'K10 Pb2 O6'
_cell_length_a 4.0906
_cell_length_b 6.1628
_cell_length_c 18.8520
_cell_angle_alpha 93.32
_cell_angle_beta 90.00
_cell_angle_gamma 90.00
_space_group_name_H-M_alt 'P 1'
_space_group_IT_number 1
loop_
_space_group_symop_operation_xyz
'x,y,z'
loop_
_atom_site_label
_atom_site_fract_x
_atom_site_fract_y
_atom_site_fract_z
K1 0.5000 0.7972 0.7276
K2 0.5000 0.8189 0.0681
K3 0.5000 0.7780 0.3926
K4 0.0000 0.7069 0.8913
K5 0.0000 0.6956 0.5655
K6 0.0000 0.3044 0.4345
K7 0.0000 0.2931 0.1087
K8 0.5000 0.1811 0.9319
K9 0.5000 0.2220 0.6074
K10 0.5000 0.2028 0.2724
Pb1 0.0000 0.7145 0.2319
Pb2 0.0000 0.2855 0.7681
O1 0.0000 0.0000 0.0000
O2 0.0000 0.0265 0.6689
O3 0.0000 0.9735 0.3311
O4 0.5000 0.4742 0.8232
O5 0.5000 0.5000 0.5000
O6 0.5000 0.5258 0.1768
```